No. 1
This record from the Alexandria database describes crystalline Tb4Pr2SmTh at its relaxed geometry. The functional is PBE.

Output
space group	Pmmm, No. 47
ΔE_f	0.032	eV per atom
E	-4.996	eV/atom

Cell lengths 5.1252, 5.1410, 10.0958 Å; angles 90.00, 90.00, 90.00 degrees
Positions (direct):
Tb1 0.0000 0.0000 0.2453
Tb2 0.0000 0.0000 0.7547
Tb3 0.5000 0.5000 0.2452
Tb4 0.5000 0.5000 0.7548
Pr1 0.0000 0.5000 0.0000
Pr2 0.5000 0.0000 0.5000
Sm1 0.0000 0.5000 0.5000
Th1 0.5000 0.0000 0.0000

***

No. 2
This record from the Alexandria database describes crystalline Rb2Np3CdS8 at its relaxed geometry. The functional is PBE.

Output
space group	R3m, No. 160
formation energy from raw total energies	-115.8	kJ per mole of atoms
E	-6.535	eV/atom

Cell lengths 9.4060, 9.4060, 9.4060 Å; angles 50.16, 50.16, 50.16 degrees
Positions (direct):
Rb1 0.0000 0.0000 0.0000
Rb2 0.3501 0.3501 0.3501
Np1 0.5004 0.9971 0.9971
Np2 0.9971 0.5004 0.9971
Np3 0.9971 0.9971 0.5004
Cd1 0.5108 0.5108 0.5108
S1 0.2095 0.7336 0.7336
S2 0.2209 0.2209 0.2209
S3 0.2685 0.2685 0.7848
S4 0.2685 0.7848 0.2685
S5 0.7336 0.2095 0.7336
S6 0.7336 0.7336 0.2095
S7 0.7742 0.7742 0.7742
S8 0.7848 0.2685 0.2685

***

No. 3
This record from the Alexandria database describes crystalline Na2CaNbF8 at its relaxed geometry. The functional is PBE.

Output
space group	Pmmm, No. 47
formation energy from raw total energies	-300.1	kJ per mole of atoms
E	-5.583	eV/atom

Cell lengths 3.7202, 5.5486, 7.6957 Å; angles 90.00, 90.00, 90.00 degrees
Positions (direct):
Na1 0.0000 0.0000 0.2350
Na2 0.0000 0.0000 0.7650
Ca1 0.5000 0.5000 0.0000
Nb1 0.5000 0.5000 0.5000
F1 0.0000 0.2566 0.0000
F2 0.0000 0.2922 0.5000
F3 0.0000 0.7078 0.5000
F4 0.0000 0.7434 0.0000
F5 0.5000 0.2751 0.2840
F6 0.5000 0.2751 0.7160
F7 0.5000 0.7249 0.2840
F8 0.5000 0.7249 0.7160

***

No. 4
This record from the Alexandria database describes crystalline NpAgB2O8 at its relaxed geometry. The functional is PBE.

Output
space group	C2/m, No. 12
formation energy from raw total energies	-165.3	kJ per mole of atoms
E	-7.447	eV/atom

Cell lengths 4.8814, 4.8814, 6.9328 Å; angles 95.01, 95.01, 65.68 degrees
Positions (direct):
Np1 0.0000 0.0000 0.0000
Ag1 0.0000 0.0000 0.5000
B1 0.3353 0.3353 0.7602
B2 0.6647 0.6647 0.2398
O1 0.2104 0.6683 0.7895
O2 0.2231 0.2231 0.9191
O3 0.2510 0.2510 0.5689
O4 0.3317 0.7896 0.2105
O5 0.6683 0.2104 0.7895
O6 0.7490 0.7490 0.4311
O7 0.7769 0.7769 0.0809
O8 0.7896 0.3317 0.2105

***

No. 5
This record from the Alexandria database describes crystalline CaMo2Ru at its relaxed geometry. The functional is PBE.

Output
excess energy over the best structure of this formula in the dataset	0.565	eV/f.u.
space group	P2/m, No. 10
ΔE_f	0.552	eV per atom
E	-7.683	eV/atom

Cell lengths 2.8102, 4.6390, 5.4028 Å; angles 90.00, 102.44, 90.00 degrees
Positions (direct):
Ca1 0.0000 0.0000 0.0000
Mo1 0.2502 0.5000 0.7298
Mo2 0.7498 0.5000 0.2702
Ru1 0.5000 0.0000 0.5000

***

No. 6
This record from the Alexandria database describes crystalline Nd3Cd4In at its relaxed geometry. The functional is PBE.

Output
space group	Immm, No. 71
ΔE_f	-0.140	eV per atom
E	-2.728	eV/atom

Cell lengths 3.7071, 8.1034, 15.7530 Å; angles 90.00, 90.00, 90.00 degrees
Positions (direct):
Nd1 0.0000 0.0000 0.0000
Nd2 0.0000 0.5000 0.1809
Nd3 0.0000 0.5000 0.8191
Nd4 0.5000 0.0000 0.3191
Nd5 0.5000 0.0000 0.6809
Nd6 0.5000 0.5000 0.5000
Cd1 0.0000 0.3110 0.3597
Cd2 0.0000 0.3110 0.6403
Cd3 0.0000 0.6890 0.3597
Cd4 0.0000 0.6890 0.6403
Cd5 0.5000 0.1890 0.1403
Cd6 0.5000 0.1890 0.8597
Cd7 0.5000 0.8110 0.1403
Cd8 0.5000 0.8110 0.8597
In1 0.0000 0.0000 0.5000
In2 0.5000 0.5000 0.0000

***

No. 7
This record from the Alexandria database describes crystalline Ca2Cd3Hg8 at its relaxed geometry. The functional is PBE.

Output
excess energy over the best structure of this formula in the dataset	0.000	eV/f.u.
space group	C2/m, No. 12
ΔE_f	-0.182	eV per atom
E	-0.886	eV/atom

Cell lengths 8.1816, 8.1816, 5.3831 Å; angles 101.89, 101.89, 81.16 degrees
Positions (direct):
Ca1 0.2074 0.2074 0.3533
Ca2 0.7926 0.7926 0.6467
Cd1 0.2499 0.7501 0.0000
Cd2 0.5000 0.5000 0.5000
Cd3 0.7501 0.2499 0.0000
Hg1 0.0664 0.0664 0.7762
Hg2 0.1009 0.5923 0.3554
Hg3 0.3580 0.3580 0.9277
Hg4 0.4077 0.8991 0.6446
Hg5 0.5923 0.1009 0.3554
Hg6 0.6420 0.6420 0.0723
Hg7 0.8991 0.4077 0.6446
Hg8 0.9336 0.9336 0.2238

***

No. 8
This record from the Alexandria database describes crystalline MgCuSnSe3 at its relaxed geometry. The functional is PBE.

Output
space group	P2_1/m, No. 11
formation energy from raw total energies	-52.6	kJ per mole of atoms
E	-3.904	eV/atom

Cell lengths 8.0980, 4.0286, 9.0132 Å; angles 90.00, 102.84, 90.00 degrees
Positions (direct):
Mg1 0.1696 0.2500 0.1631
Mg2 0.8304 0.7500 0.8369
Cu1 0.4150 0.7500 0.4649
Cu2 0.5850 0.2500 0.5351
Sn1 0.3187 0.7500 0.8199
Sn2 0.6813 0.2500 0.1801
Se1 0.0731 0.2500 0.8536
Se2 0.2632 0.2500 0.4701
Se3 0.3974 0.7500 0.1369
Se4 0.6026 0.2500 0.8631
Se5 0.7368 0.7500 0.5299
Se6 0.9269 0.7500 0.1464

***

No. 9
This record from the Alexandria database describes crystalline BeSi5 at its relaxed geometry. The functional is PBE.

Output
excess energy over the best structure of this formula in the dataset	0.000	eV/f.u.
space group	C2/m, No. 12
formation energy from raw total energies	44.2	kJ per mole of atoms
E	-4.682	eV/atom

Cell lengths 10.4366, 2.5477, 6.4552 Å; angles 90.00, 105.86, 90.00 degrees
Positions (direct):
Be1 0.0000 0.0000 0.0000
Be2 0.5000 0.5000 0.0000
Si1 0.0000 0.0000 0.5000
Si2 0.1522 0.5000 0.8476
Si3 0.1551 0.5000 0.2966
Si4 0.3449 0.0000 0.7034
Si5 0.3478 0.0000 0.1524
Si6 0.5000 0.5000 0.5000
Si7 0.6522 0.0000 0.8476
Si8 0.6551 0.0000 0.2966
Si9 0.8449 0.5000 0.7034
Si10 0.8478 0.5000 0.1524

***

No. 10
This record from the Alexandria database describes crystalline SmLuHgRh at its relaxed geometry. The functional is PBE.

Output
space group	F-43m, No. 216
ΔE_f	-0.593	eV per atom
E	-4.817	eV/atom

Cell lengths 7.1512, 7.1512, 7.1512 Å; angles 90.00, 90.00, 90.00 degrees
Positions (direct):
Sm1 0.0000 0.0000 0.0000
Sm2 0.0000 0.5000 0.5000
Sm3 0.5000 0.0000 0.5000
Sm4 0.5000 0.5000 0.0000
Lu1 0.0000 0.0000 0.5000
Lu2 0.0000 0.5000 0.0000
Lu3 0.5000 0.0000 0.0000
Lu4 0.5000 0.5000 0.5000
Hg1 0.2500 0.2500 0.2500
Hg2 0.2500 0.7500 0.7500
Hg3 0.7500 0.2500 0.7500
Hg4 0.7500 0.7500 0.2500
Rh1 0.2500 0.2500 0.7500
Rh2 0.2500 0.7500 0.2500
Rh3 0.7500 0.2500 0.2500
Rh4 0.7500 0.7500 0.7500

***

No. 11
This record from the Alexandria database describes crystalline RbIn2Bi2 at its relaxed geometry. The functional is PBE.

Output
excess energy over the best structure of this formula in the dataset	0.498	eV/f.u.
space group	P4/mbm, No. 127
ΔE_f	-0.113	eV per atom
E	-2.954	eV/atom

Cell lengths 9.6264, 9.6264, 3.6506 Å; angles 90.00, 90.00, 90.00 degrees
Positions (direct):
Rb1 0.0000 0.0000 0.0000
Rb2 0.5000 0.5000 0.0000
In1 0.1267 0.3733 0.0000
In2 0.3733 0.8733 0.0000
In3 0.6267 0.1267 0.0000
In4 0.8733 0.6267 0.0000
Bi1 0.1663 0.6663 0.5000
Bi2 0.3337 0.1663 0.5000
Bi3 0.6663 0.8337 0.5000
Bi4 0.8337 0.3337 0.5000

***

No. 12
This record from the Alexandria database describes crystalline BeAlSe2 at its relaxed geometry. The functional is PBE.

Output
excess energy over the best structure of this formula in the dataset	1.099	eV/f.u.
space group	Cmmm, No. 65
formation energy from raw total energies	-12.8	kJ per mole of atoms
E	-3.743	eV/atom

Cell lengths 3.4390, 7.8077, 6.9237 Å; angles 90.00, 90.00, 90.00 degrees
Positions (direct):
Be1 0.0000 0.0000 0.0000
Be2 0.5000 0.5000 0.0000
Al1 0.0000 0.0000 0.5000
Al2 0.5000 0.5000 0.5000
Se1 0.0000 0.5000 0.2275
Se2 0.0000 0.5000 0.7725
Se3 0.5000 0.0000 0.2275
Se4 0.5000 0.0000 0.7725